The following is a DFT calculation (PBE with a Hubbard U) of a relaxed Na2Cr2TcO6 crystal.

The structure belongs to space group C2/m (No. 12); the cell edges are 5.2988, 9.1443 and 5.7837 Å and the angles 90.00°, 108.00° and 90.00°. Symmetry generates all atoms from Na at (0.0000, 0.1688, 0.0000), Cr at (0.0000, 0.3347, 0.5000), Tc at (0.0000, 0.0000, 0.5000), O at (0.2279, 0.1693, 0.6891) and O at (0.2345, 0.5000, 0.6904).

The raw total energy is -154.04 eV for the cell shown. The value obtained for the volume is 12.1 A^3/atom.